Compound: La3ZnIn2
Source: Alexandria
Functional: GGA-PBE
Structure: optimized geometry

Cell: 5.5167 5.5167 13.5692 Å, 90.00 90.00 120.00°
With the nearest neighbours (Å) after each atom.
Fractional positions:
La1 0.0000 0.0000 0.2445  5 In 3.32-3.47, 3 Zn 3.36
La2 0.0000 0.0000 0.7555  5 In 3.32-3.47, 3 Zn 3.36
La3 0.3333 0.6667 0.4104  1 Zn 3.34, 7 In 3.36-3.49
La4 0.3333 0.6667 0.9163  4 Zn 3.37, 4 In 3.37-3.38
La5 0.6667 0.3333 0.0837  4 Zn 3.37, 4 In 3.37-3.38
La6 0.6667 0.3333 0.5896  1 Zn 3.34, 7 In 3.36-3.49
Zn1 0.3333 0.6667 0.1646  8 La 3.34-3.37
Zn2 0.6667 0.3333 0.8354  8 La 3.34-3.37
In1 0.0000 0.0000 0.0000  8 La 3.32-3.38
In2 0.0000 0.0000 0.5000  8 La 3.41-3.47
In3 0.3333 0.6667 0.6678  8 La 3.36-3.49
In4 0.6667 0.3333 0.3322  8 La 3.36-3.49

## Properties
Magnetic moment: 0.00 μB/cell
DOS(E_F): 7.434 states/eV/f.u.
ΔE to the lowest computed polymorph: 14 meV/atom
Calculated formation energy: -0.4349 eV/atom
Raw total energy: -0.2957 Ry/atom